# TbMg2Cu2 | Alexandria | PBE-GGA | optimized geometry
data_TbMg2Cu2
_cell_length_a 3.735
_cell_length_b 6.735
_cell_length_c 8.317
_cell_angle_alpha 90.00
_cell_angle_beta 90.00
_cell_angle_gamma 106.10
_symmetry_space_group_name_H-M 'P 1'
_symmetry_Int_Tables_number 1
loop_
_symmetry_equiv_pos_as_xyz
'x,y,z'
loop_
_atom_site_label
_atom_site_fract_x
_atom_site_fract_y
_atom_site_fract_z
Tb1 0.416 0.831 0.342
Tb2 0.584 0.169 0.842
Mg1 0.307 0.613 0.959
Mg2 0.693 0.387 0.459
Mg3 0.121 0.241 0.196
Mg4 0.879 0.759 0.696
Cu1 0.226 0.451 0.674
Cu2 0.774 0.549 0.174
Cu3 0.947 0.894 0.034
Cu4 0.053 0.106 0.534
# Calculated volume   201.0 Å³ per cell
# Offset from the most stable computed form   0 meV per atom
# Total DFT energy (no corrections)   -3.3326 eV per atom
# Space group   Cmc2_1, No. 36
# E_form   -0.13 eV per atom



# HoZn2Ni | Alexandria | PBE-GGA | optimized geometry
data_HoZn2Ni
_cell_length_a 4.139
_cell_length_b 4.139
_cell_length_c 5.385
_cell_angle_alpha 67.40
_cell_angle_beta 67.40
_cell_angle_gamma 60.00
_symmetry_space_group_name_H-M 'P 1'
_symmetry_Int_Tables_number 1
loop_
_symmetry_equiv_pos_as_xyz
'x,y,z'
loop_
_atom_site_label
_atom_site_fract_x
_atom_site_fract_y
_atom_site_fract_z
Ni1 0.500 0.500 0.500
Zn1 0.790 0.790 0.630
Zn2 0.210 0.210 0.370
Ho1 0.000 0.000 0.000
# Calculated volume   71.6 Å³ per cell
# Total DFT energy (no corrections)   -3.5111 eV per atom
# Space group   R-3m, No. 166
# E_form   -0.28 eV per atom



# CaLa2Ru | Alexandria | PBE-GGA | optimized geometry
data_CaLa2Ru
_cell_length_a 3.986
_cell_length_b 4.454
_cell_length_c 7.574
_cell_angle_alpha 69.04
_cell_angle_beta 90.00
_cell_angle_gamma 90.00
_symmetry_space_group_name_H-M 'P 1'
_symmetry_Int_Tables_number 1
loop_
_symmetry_equiv_pos_as_xyz
'x,y,z'
loop_
_atom_site_label
_atom_site_fract_x
_atom_site_fract_y
_atom_site_fract_z
Ru1 0.500 0.250 0.250
Ca1 0.500 0.750 0.750
La1 0.000 0.059 0.069
La2 0.000 0.441 0.431
# Calculated volume   125.6 Å³ per cell
# Offset from the most stable computed form   145 meV per atom
# Total DFT energy (no corrections)   -5.3450 eV per atom
# Space group   P2/m, No. 10
# E_form   -0.06 eV per atom